[1]
# BeSnB3 PBE-GGA optimized geometry
# Formation energy ... 1537 meV/atom
data_BeSnB3
_chemical_formula_sum 'Be1 Sn1 B3'
_symmetry_space_group_name_H-M 'P m -3 m'
_symmetry_Int_Tables_number 221
_symmetry_space_group_name_Hall '-P 4 2 3'
_cell_length_a 3.896
_cell_length_b 3.896
_cell_length_c 3.896
_cell_angle_alpha 90.00
_cell_angle_beta 90.00
_cell_angle_gamma 90.00
loop_
_atom_site_label
_atom_site_type_symbol
_atom_site_fract_x
_atom_site_fract_y
_atom_site_fract_z
Be1 Be 0.000 0.000 0.000
Sn1 Sn 0.500 0.500 0.500
B1 B 0.000 0.000 0.500



[2]
# TiMn2N PBE-GGA optimized geometry
# Uncorrected formation energy ... -337 meV per atom
data_TiMn2N
_chemical_formula_sum 'Ti4 Mn8 N4'
_symmetry_space_group_name_H-M 'I -4 2 d'
_symmetry_Int_Tables_number 122
_symmetry_space_group_name_Hall 'I -4 2bw'
_cell_length_a 6.531
_cell_length_b 6.531
_cell_length_c 4.310
_cell_angle_alpha 90.00
_cell_angle_beta 90.00
_cell_angle_gamma 90.00
loop_
_atom_site_label
_atom_site_type_symbol
_atom_site_fract_x
_atom_site_fract_y
_atom_site_fract_z
Ti1 Ti 0.000 0.000 0.000
Mn1 Mn 0.121 0.250 0.625
N1 N 0.000 0.000 0.500



[3]
# CsPd2Se2 PBE-GGA optimized geometry
# Uncorrected formation energy ... -520 meV per atom
data_CsPd2Se2
_chemical_formula_sum 'Cs2 Pd4 Se4'
_symmetry_space_group_name_H-M 'I 4/m m m'
_symmetry_Int_Tables_number 139
_symmetry_space_group_name_Hall '-I 4 2'
_cell_length_a 4.924
_cell_length_b 4.924
_cell_length_c 12.060
_cell_angle_alpha 90.00
_cell_angle_beta 90.00
_cell_angle_gamma 90.00
loop_
_atom_site_label
_atom_site_type_symbol
_atom_site_fract_x
_atom_site_fract_y
_atom_site_fract_z
Cs1 Cs 0.000 0.000 0.000
Pd1 Pd 0.000 0.000 0.305
Se1 Se 0.000 0.500 0.250